## Cd3Hg (GGA-PBE)

Data for a geometry-optimized Cd3Hg structure.

Structure (POSCAR):
```
Cd3Hg
1.0
-0.2143 -2.6277 -2.6261
3.2011 -2.0195 1.7595
-3.8339 -3.1010 3.4157
Cd Hg
3 1
Direct
0.0000 0.0000 0.0004
0.5000 0.5000 0.7500
0.0000 0.0000 0.4996
0.5000 0.5000 0.2500
```

calculated density = 9.6 g/cm³
DFT formation energy = 0.1 eV/f.u.

## Cd4Hg11 (GGA-PBE)

Data for a geometry-optimized Cd4Hg11 structure.

Structure (POSCAR):
```
Cd4Hg11
1.0
-2.1958 -1.4610 -5.5004
9.0762 -7.6027 -1.6039
-6.0313 -8.2454 4.5980
Hg Cd
22 8
Direct
0.0000 0.0104 0.2627
0.7495 0.2565 0.2521
0.0000 0.9896 0.7373
0.7506 0.2435 0.7517
0.5000 0.5107 0.2372
0.5000 0.1270 0.9982
0.0000 0.3592 0.9997
0.5000 0.1407 0.5001
0.0000 0.3730 0.4990
0.0000 0.6408 0.0003
0.7495 0.7435 0.7480
0.7506 0.7565 0.2483
0.5000 0.8730 0.0018
0.5000 0.4893 0.7628
0.5000 0.5000 0.5000
0.0000 0.6270 0.5010
0.2505 0.2565 0.2520
0.5000 0.8593 0.4999
0.2494 0.2435 0.7517
0.0000 0.0000 0.0000
0.2505 0.7435 0.7479
0.2494 0.7565 0.2483
0.5000 0.0053 0.2513
0.0000 0.8719 0.4937
0.5000 0.6281 0.9924
0.0000 0.1281 0.5063
0.5000 0.3719 0.0076
0.0000 0.5050 0.2489
0.0000 0.4950 0.7511
0.5000 0.9947 0.7487
```

calculated density = 10.8 g/cm³
DFT formation energy = 0.5 eV/f.u.

## CdHg3 (GGA-PBE)

Data for a geometry-optimized CdHg3 structure.

Structure (POSCAR):
```
CdHg3
1.0
4.6743 0.0000 0.0000
0.0000 4.6743 0.0000
0.0000 0.0000 4.6743
Hg Cd
3 1
Direct
0.5000 0.0000 0.5000
0.0000 0.5000 0.5000
0.5000 0.5000 0.0000
0.0000 0.0000 0.0000
```

calculated density = 11.6 g/cm³
DFT formation energy = 0.2 eV/f.u.
ΔE to the lowest computed polymorph = 0.0233 eV per atom

## Cd2Hg (GGA-PBE)

Data for a geometry-optimized Cd2Hg structure.

Structure (POSCAR):
```
Cd2Hg
1.0
-0.0900 -2.2910 2.2261
-2.4270 -2.6380 -2.8130
10.0598 -1.5770 -3.5101
Cd Hg
4 2
Direct
0.8094 0.5594 0.6187
0.9565 0.7065 0.9129
0.0435 0.2935 0.0871
0.1906 0.4406 0.3813
0.3770 0.1270 0.7541
0.6230 0.8730 0.2459
```

calculated density = 9.3 g/cm³
DFT formation energy = 0.2 eV/f.u.

## Cd5Hg (GGA-PBE)

Data for a geometry-optimized Cd5Hg structure.

Structure (POSCAR):
```
Cd5Hg
1.0
-2.6618 -1.2105 -0.7436
1.1563 -2.2548 5.6529
-3.7067 4.6396 5.7154
Cd Hg
5 1
Direct
0.6915 0.3830 0.6163
0.3639 0.7277 0.2850
0.3614 0.7229 0.7690
0.0334 0.0668 0.4426
0.0195 0.0390 0.9478
0.6970 0.3939 0.1060
```

calculated density = 9.1 g/cm³
DFT formation energy = 0.1 eV/f.u.

## Cd5Hg (GGA-PBE)

Data for a geometry-optimized Cd5Hg structure.

Structure (POSCAR):
```
Cd5Hg
1.0
3.0227 0.0000 0.0000
1.5113 8.5390 0.0000
0.0000 0.0000 5.4085
Cd Hg
5 1
Direct
0.3614 0.2773 0.0000
0.5290 0.9419 0.5000
0.6952 0.6096 0.0000
0.0276 0.9449 0.0000
0.1927 0.6147 0.5000
0.8609 0.2782 0.5000
```

calculated density = 9.1 g/cm³
DFT formation energy = 0.1 eV/f.u.

## Cd3Hg (GGA-PBE)

Data for a geometry-optimized Cd3Hg structure.

Structure (POSCAR):
```
Cd3Hg
1.0
-2.2217 1.5704 5.5195
-4.9394 -2.0799 -1.3964
1.4693 -4.8042 1.9583
Cd Hg
6 2
Direct
0.0000 0.5000 0.3264
0.2512 0.0000 0.1694
0.2488 0.5000 0.8306
0.7488 0.0000 0.1694
0.5000 0.0000 0.6736
0.7512 0.5000 0.8306
0.0000 0.0000 0.6657
0.5000 0.5000 0.3343
```

calculated density = 9.7 g/cm³
DFT formation energy = 0.1 eV/f.u.

## Cd13Hg (GGA-PBE)

Data for a geometry-optimized Cd13Hg structure.

Structure (POSCAR):
```
Cd13Hg
1.0
-7.8492 1.8260 -5.7777
-8.9002 -3.6308 2.4347
-7.1550 6.1047 3.1406
Cd Hg
26 2
Direct
0.8026 0.5592 0.4408
0.8026 0.1974 0.5592
0.8026 0.4408 0.1974
0.9408 0.0592 0.3026
0.1974 0.5592 0.8026
0.3026 0.9408 0.0592
0.0592 0.6974 0.3026
0.1974 0.4408 0.5592
0.0000 0.0000 0.0000
0.3026 0.0592 0.6974
0.9408 0.6974 0.0592
0.0592 0.3026 0.9408
0.6974 0.0592 0.9408
0.4408 0.8026 0.5592
0.5592 0.4408 0.8026
0.0592 0.9408 0.6974
0.4408 0.1974 0.8026
0.5000 0.5000 0.5000
0.9408 0.3026 0.6974
0.6974 0.9408 0.3026
0.4408 0.5592 0.1974
0.1974 0.8026 0.4408
0.3026 0.6974 0.9408
0.6974 0.3026 0.0592
0.5592 0.8026 0.1974
0.5592 0.1974 0.4408
0.7500 0.7500 0.7500
0.2500 0.2500 0.2500
```

calculated density = 8.0 g/cm³
DFT formation energy = 0.8 eV/f.u.

## Cd2Hg (GGA-PBE)

Data for a geometry-optimized Cd2Hg structure.

Structure (POSCAR):
```
Cd2Hg
1.0
-5.4646 2.4291 -1.4530
-4.6730 -3.3283 -1.0224
1.5429 -1.0191 5.5264
Cd Hg
4 2
Direct
0.6478 0.5000 0.7956
0.1478 0.2044 0.5000
0.3522 0.5000 0.2044
0.8522 0.7956 0.5000
0.7500 0.0000 0.0000
0.2500 0.0000 0.0000
```

calculated density = 9.4 g/cm³
DFT formation energy = 0.2 eV/f.u.

## Cd4Hg3 (GGA-PBE)

Data for a geometry-optimized Cd4Hg3 structure.

Structure (POSCAR):
```
Cd4Hg3
1.0
-5.9787 0.8283 1.0916
2.0060 -0.6393 -5.7611
-0.6866 -5.4357 0.3642
Cd Hg
4 3
Direct
0.0000 0.0000 0.7462
0.0000 0.0000 0.2538
0.3333 0.6667 0.5000
0.6667 0.3333 0.5000
0.5000 0.5000 0.0000
0.0000 0.5000 0.0000
0.5000 0.0000 0.0000
```

calculated density = 9.8 g/cm³
DFT formation energy = 0.7 eV/f.u.
ΔE to the lowest computed polymorph = 0.0807 eV per atom

## CdHg5 (GGA-PBE)

Data for a geometry-optimized CdHg5 structure.

Structure (POSCAR):
```
CdHg5
1.0
-5.0325 0.2654 3.6315
5.6279 -0.6891 2.5370
0.5495 5.7450 0.3415
Hg Cd
5 1
Direct
0.6667 0.3333 0.0000
0.0000 0.5000 0.5000
0.5000 0.0000 0.5000
0.3333 0.6667 0.0000
0.5000 0.5000 0.5000
0.0000 0.0000 0.0000
```

calculated density = 9.6 g/cm³
DFT formation energy = 0.5 eV/f.u.

## Cd3Hg (GGA-PBE)

Data for a geometry-optimized Cd3Hg structure.

Structure (POSCAR):
```
Cd3Hg
1.0
-1.6210 -2.1685 -1.7250
1.3297 -1.2812 -2.6261
3.9680 -8.7921 4.3365
Hg Cd
1 3
Direct
0.2500 0.2500 0.2500
0.4995 0.4995 0.5014
0.7500 0.7500 0.7500
0.0005 0.0005 0.9986
```

calculated density = 9.6 g/cm³
DFT formation energy = 0.1 eV/f.u.

Density of states at the Fermi level
In order: 1.1, 8.3, 1.5, 2.8, 1.7, 1.3, 1.2, 14.3, 1.7, 1.3, 1.5, 1.4
Unit: states/eV per cell